1 | Computed, not measured: crystalline Co4P at its relaxed geometry at the PBEsol level of DFT.

Cell: 3.5095 4.1670 4.1670 Å, 79.79 65.10 65.10°
Last column: nearest neighbours and their distance in Å.
Fractional positions:
Co 0.3926 0.8020 0.4129  3 P 2.34-2.46, 9 Co 2.38-2.45
Co 0.1946 0.4129 0.1980  3 P 2.34-2.46, 9 Co 2.38-2.45
Co 0.8054 0.5871 0.8020  3 P 2.34-2.46, 9 Co 2.38-2.45
Co 0.6074 0.1980 0.5871  3 P 2.34-2.46, 9 Co 2.38-2.45
P 0.0000 0.0000 0.0000  12 Co 2.34-2.46

The value obtained for the density is 8834 kg/m3.

=====

2 | Computed, not measured: crystalline Co4P at its relaxed geometry at the PBEsol level of DFT.

Cell: 4.3202 4.3202 4.3202 Å, 109.47 109.47 109.47°
Last column: nearest neighbours and their distance in Å.
Fractional positions:
Co 0.5000 0.0000 0.0000  2 P 2.16
Co 0.0000 0.0000 0.5000  2 P 2.16
Co 0.0000 0.5000 0.0000  2 P 2.16
Co 0.5000 0.5000 0.5000  2 P 2.16
P 0.0000 0.0000 0.0000  8 Co 2.16

The value obtained for the density is 7135 kg/m3.

=====

The relative energies come out as 1 0.0; 2 45.8, with values in kJ/mol of atoms.

=====

1 | Computed, not measured: crystalline CoReP at its relaxed geometry at the PBEsol level of DFT.

Cell: 3.7524 5.5766 6.6377 Å, 90.00 90.00 90.00°
Last column: nearest neighbours and their distance in Å.
Fractional positions:
Re 0.7500 0.0272 0.3301  3 P 2.32-2.49
Re 0.2500 0.9728 0.6699  3 P 2.32-2.49
Re 0.2500 0.4728 0.8301  3 P 2.32-2.49
Re 0.7500 0.5272 0.1699  3 P 2.32-2.49
P 0.7500 0.2615 0.6195  4 Co 2.15-2.33, 1 Re 2.32
P 0.2500 0.2385 0.1195  4 Co 2.15-2.33, 1 Re 2.32
P 0.2500 0.7385 0.3805  4 Co 2.15-2.33, 1 Re 2.32
P 0.7500 0.7615 0.8805  4 Co 2.15-2.33, 1 Re 2.32
Co 0.7500 0.6420 0.5714  4 P 2.15-2.33
Co 0.7500 0.1420 0.9286  4 P 2.15-2.33
Co 0.2500 0.8580 0.0714  4 P 2.15-2.33
Co 0.2500 0.3580 0.4286  4 P 2.15-2.33

The value obtained for the density is 13204 kg/m3.

=====

2 | Computed, not measured: crystalline CoReP at its relaxed geometry at the PBEsol level of DFT.

Cell: 2.8383 2.8383 4.8181 Å, 107.11 107.11 90.06°
Last column: nearest neighbours and their distance in Å.
Fractional positions:
Co 0.0214 0.0214 0.0429  4 P 2.34
Re 0.3203 0.3203 0.6407  4 P 2.46, 5 Co 2.62-2.67
P 0.6582 0.6582 0.3164  4 Co 2.34, 4 Re 2.46

The value obtained for the density is 12992 kg/m3.

=====

The relative energies come out as 1 0.0; 2 29.3, with values in kJ/mol of atoms.

=====

1 | Computed, not measured: crystalline CoSbP at its relaxed geometry at the PBEsol level of DFT.

Cell: 4.2220 4.2220 4.2220 Å, 60.00 60.00 60.00°
Last column: nearest neighbours and their distance in Å.
Fractional positions:
Co 0.5000 0.5000 0.5000  4 P 2.59
Sb 0.0000 0.0000 0.0000  4 P 2.59
P 0.2500 0.2500 0.2500  4 Co 2.59, 4 Sb 2.59

The value obtained for the density is 6605 kg/m3.

=====

2 | Computed, not measured: crystalline CoSbP at its relaxed geometry at the PBEsol level of DFT.

Cell: 5.8932 5.9366 10.8233 Å, 90.00 90.00 90.00°
Last column: nearest neighbours and their distance in Å.
Fractional positions:
P 0.1515 0.7257 0.9309  3 Co 2.19-2.21
P 0.6515 0.7743 0.0691  3 Co 2.19-2.21
P 0.8485 0.2257 0.5691  3 Co 2.19-2.21
P 0.1515 0.7743 0.4309  3 Co 2.19-2.21
P 0.6515 0.7257 0.5691  3 Co 2.19-2.21
P 0.8485 0.2743 0.0691  3 Co 2.19-2.21
P 0.3485 0.2257 0.9309  3 Co 2.19-2.21
P 0.3485 0.2743 0.4309  3 Co 2.19-2.21
Sb 0.1204 0.0001 0.1761  3 Co 2.55-2.58, 1 P 2.56
Sb 0.3796 0.5001 0.1761  3 Co 2.55-2.58, 1 P 2.56
Sb 0.6204 0.4999 0.8239  3 Co 2.55-2.58, 1 P 2.56
Sb 0.8796 0.9999 0.8239  3 Co 2.55-2.58, 1 P 2.56
Sb 0.1204 0.4999 0.6761  3 Co 2.55-2.58, 1 P 2.56
Sb 0.8796 0.5001 0.3239  3 Co 2.55-2.58, 1 P 2.56
Sb 0.6204 0.0001 0.3239  3 Co 2.55-2.58, 1 P 2.56
Sb 0.3796 0.9999 0.6761  3 Co 2.55-2.58, 1 P 2.56
Co 0.0145 0.3847 0.8988  3 P 2.19-2.21
Co 0.0145 0.1153 0.3988  3 P 2.19-2.21
Co 0.9855 0.6153 0.1012  3 P 2.19-2.21
Co 0.5145 0.3847 0.6012  3 P 2.19-2.21
Co 0.5145 0.1153 0.1012  3 P 2.19-2.21
Co 0.9855 0.8847 0.6012  3 P 2.19-2.21
Co 0.4855 0.6153 0.3988  3 P 2.19-2.21
Co 0.4855 0.8847 0.8988  3 P 2.19-2.21

The value obtained for the density is 7426 kg/m3.

=====

The relative energies come out as 1 98.0; 2 0.0, with values in kJ/mol of atoms.

=====

1 | Computed, not measured: crystalline CoTcP2 at its relaxed geometry at the PBEsol level of DFT.

Cell: 2.7880 2.7880 7.0191 Å, 90.00 90.00 114.63°
Last column: nearest neighbours and their distance in Å.
Fractional positions:
Tc 0.5000 0.5000 0.5000  4 P 2.39
Co 0.5000 0.5000 0.0000  4 P 2.23
P 0.0000 0.0000 0.7648  2 Co 2.23, 2 Tc 2.39
P 0.0000 0.0000 0.2352  2 Co 2.23, 2 Tc 2.39

The value obtained for the density is 7328 kg/m3.

=====

2 | Computed, not measured: crystalline CoTcP2 at its relaxed geometry at the PBEsol level of DFT.

Cell: 4.0550 4.0550 4.0550 Å, 60.00 60.00 60.00°
Last column: nearest neighbours and their distance in Å.
Fractional positions:
Co 0.5000 0.5000 0.5000  8 P 2.48
P 0.7500 0.7500 0.7500  4 Co 2.48, 4 Tc 2.48
P 0.2500 0.2500 0.2500  4 Tc 2.48, 4 Co 2.48
Tc 0.0000 0.0000 0.0000  8 P 2.48

The value obtained for the density is 7709 kg/m3.

=====

3 | Computed, not measured: crystalline CoTcP2 at its relaxed geometry at the PBEsol level of DFT.

Cell: 2.9669 4.1299 4.2443 Å, 102.88 110.46 90.00°
Last column: nearest neighbours and their distance in Å.
Fractional positions:
Tc 0.5098 0.5656 0.0197  7 P 2.34-2.55
Co 0.7374 0.1491 0.4747  5 P 2.26-2.33
P 0.2449 0.7187 0.4897  2 Co 2.33, 3 Tc 2.34-2.35
P 0.0079 0.0666 0.0159  3 Co 2.26-2.31

The value obtained for the density is 7680 kg/m3.

=====

The relative energies come out as 1 47.4; 2 21.6; 3 0.0, with values in kJ/mol of atoms.

=====

1 | Computed, not measured: crystalline TlCoP at its relaxed geometry at the PBEsol level of DFT.

Cell: 4.3686 4.3686 4.3686 Å, 60.00 60.00 60.00°
Last column: nearest neighbours and their distance in Å.
Fractional positions:
Tl 0.7500 0.7500 0.7500  4 P 2.68, 4 Co 2.68
P 0.5000 0.5000 0.5000  4 Tl 2.68
Co 0.0000 0.0000 0.0000  4 Tl 2.68

The value obtained for the density is 8289 kg/m3.

=====

2 | Computed, not measured: crystalline TlCoP at its relaxed geometry at the PBEsol level of DFT.

Cell: 3.2038 3.2038 5.7045 Å, 90.00 90.00 120.00°
Last column: nearest neighbours and their distance in Å.
Fractional positions:
Co 0.0000 0.0000 0.9384  3 P 2.14
Tl 0.6667 0.3333 0.3126  3 Co 2.82, 3 P 3.10
P 0.3333 0.6667 0.7490  3 Co 2.14

The value obtained for the density is 9637 kg/m3.

=====

The relative energies come out as 1 103.4; 2 0.0, with values in kJ/mol of atoms.

=====

1 | Computed, not measured: crystalline TlCoP2 at its relaxed geometry at the PBEsol level of DFT.

Cell: 3.3840 3.6967 6.4661 Å, 103.27 90.00 117.24°
Last column: nearest neighbours and their distance in Å.
Fractional positions:
Tl 0.0000 0.0000 0.5000  6 P 3.08-3.11, 2 Tl 3.38
P 0.2194 0.4388 0.1322  3 Co 2.22-2.24
P 0.7806 0.5612 0.8678  3 Co 2.22-2.24
Co 0.5000 0.0000 0.0000  6 P 2.22-2.24

The value obtained for the density is 7774 kg/m3.

=====

2 | Computed, not measured: crystalline TlCoP2 at its relaxed geometry at the PBEsol level of DFT.

Cell: 3.6211 4.3044 4.8747 Å, 112.65 90.00 90.00°
Last column: nearest neighbours and their distance in Å.
Fractional positions:
P 0.0000 0.7216 0.8933  2 Co 2.20, 1 P 2.22
P 0.0000 0.2784 0.1067  2 Co 2.20, 1 P 2.22
Tl 0.5000 0.0000 0.5000  2 Co 2.56
Co 0.5000 0.5000 0.0000  4 P 2.20

The value obtained for the density is 7703 kg/m3.

=====

3 | Computed, not measured: crystalline TlCoP2 at its relaxed geometry at the PBEsol level of DFT.

Cell: 3.3136 3.6759 5.8314 Å, 105.66 90.00 90.00°
Last column: nearest neighbours and their distance in Å.
Fractional positions:
P 0.5000 0.7158 0.0537  2 Co 2.18-2.35, 2 P 2.22
P 0.0000 0.1240 0.0711  2 P 2.22, 2 Co 2.23
Tl 0.0000 0.5158 0.5562  1 P 2.81, 4 Co 2.84-2.92
Co 0.5000 0.1443 0.8189  4 P 2.18-2.35

The value obtained for the density is 7897 kg/m3.

=====

The relative energies come out as 1 0.0; 2 6.1; 3 19.1, with values in kJ/mol of atoms.

=====

1 | Computed, not measured: crystalline CoRhPb2 at its relaxed geometry at the PBEsol level of DFT.

Cell: 4.6435 4.6480 4.6480 Å, 60.05 60.03 60.03°
Last column: nearest neighbours and their distance in Å.
Fractional positions:
Co 0.5000 0.0000 0.0000  8 Pb 2.84-2.85
Pb 0.2499 0.7501 0.7501  4 Co 2.84-2.85, 4 Rh 2.85
Pb 0.7501 0.2499 0.2499  4 Co 2.84-2.85, 4 Rh 2.85
Rh 0.0000 0.5000 0.5000  8 Pb 2.85

The value obtained for the density is 13478 kg/m3.

=====

2 | Computed, not measured: crystalline CoRhPb2 at its relaxed geometry at the PBEsol level of DFT.

Cell: 3.1714 3.1714 7.8463 Å, 90.00 90.00 90.00°
Last column: nearest neighbours and their distance in Å.
Fractional positions:
Rh 0.0000 0.0000 0.5519  4 Co 2.54
Pb 0.0000 0.0000 0.9285  4 Co 2.85, 1 Rh 2.96, 4 Pb 3.17
Pb 0.5000 0.5000 0.3156  4 Rh 2.91, 1 Co 3.05, 4 Pb 3.17
Co 0.5000 0.5000 0.7041  4 Rh 2.54

The value obtained for the density is 12125 kg/m3.

=====

The relative energies come out as 1 11.0; 2 0.0, with values in kJ/mol of atoms.

=====

1 | Computed, not measured: crystalline CoPbSe at its relaxed geometry at the PBEsol level of DFT.

Cell: 4.3490 4.3490 4.3490 Å, 60.00 60.00 60.00°
Last column: nearest neighbours and their distance in Å.
Fractional positions:
Se 0.5000 0.5000 0.5000  4 Co 2.66
Co 0.7500 0.7500 0.7500  4 Se 2.66, 4 Pb 2.66
Pb 0.0000 0.0000 0.0000  4 Co 2.66

The value obtained for the density is 9852 kg/m3.

=====

2 | Computed, not measured: crystalline CoPbSe at its relaxed geometry at the PBEsol level of DFT.

Cell: 3.7413 3.7413 5.1901 Å, 90.00 90.00 120.00°
Last column: nearest neighbours and their distance in Å.
Fractional positions:
Pb 0.3333 0.6667 0.7244  3 Co 2.86
Co 0.0000 0.0000 0.0846  3 Se 2.23
Se 0.6667 0.3333 0.1911  3 Co 2.23

The value obtained for the density is 9108 kg/m3.

=====

The relative energies come out as 1 20.1; 2 0.0, with values in kJ/mol of atoms.